No. 1
Here is La3Tl after structural relaxation from Alexandria via LeMat-Bulk. Energies are from GGA-PBEsol.

Geometry as CIF:
```
data_La3Tl
_space_group_name_H-M_alt 'I 4/m m m'
_space_group_IT_number 139
_space_group_name_Hall '-I 4 2'
_cell_length_a 4.901
_cell_length_b 4.901
_cell_length_c 20.224
_cell_angle_alpha 90.00
_cell_angle_beta 90.00
_cell_angle_gamma 90.00
loop_
_atom_site_label
_atom_site_type_symbol
_atom_site_fract_x
_atom_site_fract_y
_atom_site_fract_z
_atom_site_occupancy
La1 La 0.000 0.000 0.126 1
La2 La 0.000 0.500 0.000 1
La3 La 0.000 0.500 0.250 1
Tl1 Tl 0.000 0.000 0.376 1
```

Results
Formation energy from the elements = -280 meV/atom
Excess energy over the best structure of this formula in the dataset = 0.01 eV per formula unit

---

No. 2
Here is P2PbW after structural relaxation from Alexandria via LeMat-Bulk. Energies are from GGA-PBEsol.

Geometry as CIF:
```
data_P2PbW
_space_group_name_H-M_alt 'C m m m'
_space_group_IT_number 65
_space_group_name_Hall '-C 2 2'
_cell_length_a 3.410
_cell_length_b 4.960
_cell_length_c 8.956
_cell_angle_alpha 90.00
_cell_angle_beta 90.00
_cell_angle_gamma 90.00
loop_
_atom_site_label
_atom_site_type_symbol
_atom_site_fract_x
_atom_site_fract_y
_atom_site_fract_z
_atom_site_occupancy
P1 P 0.000 0.000 0.193 1
Pb1 Pb 0.000 0.500 0.500 1
W1 W 0.000 0.500 0.000 1
```

Results
Formation energy from the elements = 341 meV/atom

---

No. 3
Here is LiLaMn2 after structural relaxation from Alexandria via LeMat-Bulk. Energies are from GGA-PBEsol.

Geometry as CIF:
```
data_LiLaMn2
_space_group_name_H-M_alt 'I 4/m m m'
_space_group_IT_number 139
_space_group_name_Hall '-I 4 2'
_cell_length_a 4.082
_cell_length_b 4.082
_cell_length_c 8.437
_cell_angle_alpha 90.00
_cell_angle_beta 90.00
_cell_angle_gamma 90.00
loop_
_atom_site_label
_atom_site_type_symbol
_atom_site_fract_x
_atom_site_fract_y
_atom_site_fract_z
_atom_site_occupancy
Li1 Li 0.000 0.000 0.000 1
La1 La 0.000 0.000 0.500 1
Mn1 Mn 0.000 0.500 0.250 1
```

Results
Formation energy from the elements = 605 meV/atom
Excess energy over the best structure of this formula in the dataset = 0.99 eV per formula unit

---

No. 4
Here is CoIrOs after structural relaxation from Alexandria via LeMat-Bulk. Energies are from GGA-PBEsol.

Geometry as CIF:
```
data_CoIrOs
_space_group_name_H-M_alt 'I m m 2'
_space_group_IT_number 44
_cell_length_a 2.654
_cell_length_b 3.672
_cell_length_c 7.835
_cell_angle_alpha 90.00
_cell_angle_beta 90.00
_cell_angle_gamma 90.00
loop_
_space_group_symop_operation_xyz
'x,y,z'
'-x,-y,z'
'-x,y,z'
'x,-y,z'
'x+1/2,y+1/2,z+1/2'
'-x+1/2,-y+1/2,z+1/2'
'-x+1/2,y+1/2,z+1/2'
'x+1/2,-y+1/2,z+1/2'
loop_
_atom_site_label
_atom_site_type_symbol
_atom_site_fract_x
_atom_site_fract_y
_atom_site_fract_z
_atom_site_occupancy
Co1 Co 0.000 0.000 0.000 1
Ir1 Ir 0.000 0.000 0.669 1
Os1 Os 0.000 0.000 0.340 1
```

Results
Formation energy from the elements = 22 meV/atom

---

No. 5
Here is Na2SiH10O8 after structural relaxation from Alexandria via LeMat-Bulk. Energies are from GGA-PBEsol.

Geometry as CIF:
```
data_Na2SiH10O8
_space_group_name_H-M_alt 'P -1'
_space_group_IT_number 2
_cell_length_a 6.568
_cell_length_b 7.839
_cell_length_c 8.449
_cell_angle_alpha 108.74
_cell_angle_beta 98.96
_cell_angle_gamma 103.58
loop_
_space_group_symop_operation_xyz
'x,y,z'
'-x,-y,-z'
loop_
_atom_site_label
_atom_site_type_symbol
_atom_site_fract_x
_atom_site_fract_y
_atom_site_fract_z
_atom_site_occupancy
Na1 Na 0.133 0.323 0.163 1
Na2 Na 0.311 0.538 0.644 1
Si1 Si 0.471 0.033 0.264 1
H1 H 0.014 0.845 0.213 1
H2 H 0.075 0.778 0.583 1
H3 H 0.143 0.162 0.403 1
H4 H 0.155 0.456 0.886 1
H5 H 0.251 0.193 0.847 1
H6 H 0.282 0.923 0.441 1
H7 H 0.294 0.678 0.985 1
H8 H 0.384 0.692 0.411 1
H9 H 0.435 0.147 0.041 1
H10 H 0.459 0.684 0.240 1
O1 O 0.083 0.270 0.416 1
O2 O 0.125 0.242 0.873 1
O3 O 0.174 0.587 0.883 1
O4 O 0.257 0.977 0.344 1
O5 O 0.323 0.832 0.572 1
O6 O 0.400 0.161 0.157 1
O7 O 0.421 0.604 0.310 1
O8 O 0.488 0.155 0.862 1
```

Results
Electronic total energy = -5.428 eV/atom

---

No. 6
Here is NbPS after structural relaxation from Alexandria via LeMat-Bulk. Energies are from GGA-PBEsol.

Geometry as CIF:
```
data_NbPS
_space_group_name_H-M_alt 'I m m m'
_space_group_IT_number 71
_space_group_name_Hall '-I 2 2'
_cell_length_a 3.407
_cell_length_b 4.691
_cell_length_c 11.958
_cell_angle_alpha 90.00
_cell_angle_beta 90.00
_cell_angle_gamma 90.00
loop_
_atom_site_label
_atom_site_type_symbol
_atom_site_fract_x
_atom_site_fract_y
_atom_site_fract_z
_atom_site_occupancy
Nb1 Nb 0.000 0.000 0.125 1
P1 P 0.000 0.236 0.500 1
S1 S 0.000 0.500 0.212 1
```

Results
Electronic total energy = -7.898 eV/atom